No. 1
CaV3Hg: relaxed, PBE.

It has space group Pm-3m (No. 221), with a = 4.6666 Å, b = 4.6666 Å, c = 4.6666 Å, α = 90.00°, β = 90.00° and γ = 90.00°. The asymmetric unit holds Ca at (0.0000, 0.0000, 0.0000), V at (0.0000, 0.0000, 0.5000) and Hg at (0.5000, 0.5000, 0.5000).

The electronic total energy comes out at -0.1419 Ha/atom. The size of the total moment comes out at 6.0 Bohr magnetons per cell. For the mass density, the calculation gives 6.4 g cm⁻³. The energy relative to the lowest polymorph listed for this composition comes out at 738 meV/atom. The value obtained for the formation energy is 2072 meV per atom.

---

No. 2
SrNbTl2: relaxed, PBE.

It has space group I-42d (No. 122), with a = 5.2027 Å, b = 5.2027 Å, c = 19.8731 Å, α = 90.00°, β = 90.00° and γ = 90.00°. The asymmetric unit holds Sr at (0.0000, 0.0000, 0.0000), Nb at (0.0000, 0.0000, 0.5000) and Tl at (0.1546, 0.2500, 0.6250).

The electronic total energy comes out at -0.1290 Ha/atom. The size of the total moment comes out at 5.9 Bohr magnetons per cell. For the mass density, the calculation gives 7.3 g cm⁻³. The value obtained for the formation energy is 612 meV per atom.

---

No. 3
Si4SnBi2: relaxed, PBE.

It has space group I4/mmm (No. 139), with a = 5.1790 Å, b = 5.1790 Å, c = 14.5058 Å, α = 90.00°, β = 90.00° and γ = 90.00°. The asymmetric unit holds Si at (0.0000, 0.0000, 0.1941), Si at (0.0000, 0.5000, 0.0000), Sn at (0.0000, 0.0000, 0.0000) and Bi at (0.0000, 0.0000, 0.3821).

The calculation puts the energy relative to the elements, uncorrected at 919 meV per atom. The electronic total energy comes out at -0.1419 Ha/atom. The size of the total moment comes out at 0.0 Bohr magnetons per cell. For the mass density, the calculation gives 5.5 g cm⁻³.

---

No. 4
NaLaTl2Mo: relaxed, PBE.

It has space group P4/mmm (No. 123), with a = 5.5744 Å, b = 5.5744 Å, c = 5.1322 Å, α = 90.00°, β = 90.00° and γ = 90.00°. The asymmetric unit holds Na at (0.0000, 0.0000, 0.0000), La at (0.5000, 0.5000, 0.0000), Tl at (0.0000, 0.5000, 0.5000) and Mo at (0.5000, 0.5000, 0.5000).

The electronic total energy comes out at -0.1510 Ha/atom. The size of the total moment comes out at 0.0 Bohr magnetons per cell. For the mass density, the calculation gives 6.9 g cm⁻³. The energy relative to the lowest polymorph listed for this composition comes out at 0 meV/atom. The value obtained for the formation energy is 253 meV per atom.

---

No. 5
TcPbBr2: relaxed, PBE.

It has space group F-43m (No. 216), with a = 7.3566 Å, b = 7.3566 Å, c = 7.3566 Å, α = 90.00°, β = 90.00° and γ = 90.00°. The asymmetric unit holds Tc at (0.0000, 0.0000, 0.0000), Pb at (0.2500, 0.2500, 0.2500), Br at (0.0000, 0.0000, 0.5000) and Br at (0.2500, 0.2500, 0.7500).

The calculation puts the energy relative to the elements, uncorrected at 697 meV per atom. The electronic total energy comes out at -0.1344 Ha/atom. The size of the total moment comes out at 12.0 Bohr magnetons per cell. For the mass density, the calculation gives 7.8 g cm⁻³. The energy relative to the lowest polymorph listed for this composition comes out at 680 meV/atom.

---

No. 6
La2Pr2YMg5: relaxed, PBE.

It has space group P4/mbm (No. 127), with a = 10.7834 Å, b = 10.7834 Å, c = 5.1700 Å, α = 90.00°, β = 90.00° and γ = 90.00°. The asymmetric unit holds La at (0.1735, 0.3265, 0.0000), Pr at (0.1246, 0.6246, 0.0000), Y at (0.0000, 0.0000, 0.0000), Mg at (0.0000, 0.5000, 0.5000) and Mg at (0.0725, 0.8073, 0.5000).

The electronic total energy comes out at -0.1246 Ha/atom. The size of the total moment comes out at 0.0 Bohr magnetons per cell. For the mass density, the calculation gives 4.3 g cm⁻³. The value obtained for the formation energy is -5 meV per atom.

---

No. 7
Ac12InRh4: relaxed, PBE.

It has space group Im-3 (No. 204), with a = 11.1088 Å, b = 11.1088 Å, c = 11.1088 Å, α = 90.00°, β = 90.00° and γ = 90.00°. The asymmetric unit holds Ac at (0.0000, 0.1782, 0.3042), In at (0.0000, 0.0000, 0.0000) and Rh at (0.2500, 0.2500, 0.2500).

The electronic total energy comes out at -0.1890 Ha/atom. The size of the total moment comes out at 0.0 Bohr magnetons per cell. For the mass density, the calculation gives 7.9 g cm⁻³. The value obtained for the formation energy is -352 meV per atom.

---

No. 8
K2InRhN: relaxed, PBE.

It has space group P4/mmm (No. 123), with a = 6.7354 Å, b = 6.7354 Å, c = 3.9672 Å, α = 90.00°, β = 90.00° and γ = 90.00°. The asymmetric unit holds K at (0.0000, 0.5000, 0.0000), In at (0.0000, 0.0000, 0.0000), Rh at (0.5000, 0.5000, 0.5000) and N at (0.0000, 0.0000, 0.5000).

The calculation puts the energy relative to the elements, uncorrected at 1045 meV per atom. The electronic total energy comes out at -0.1131 Ha/atom. The size of the total moment comes out at 1.3 Bohr magnetons per cell. For the mass density, the calculation gives 2.9 g cm⁻³.

---

No. 9
LaCdOs3: relaxed, PBE.

It has space group Pm-3m (No. 221), with a = 4.8879 Å, b = 4.8879 Å, c = 4.8879 Å, α = 90.00°, β = 90.00° and γ = 90.00°. The asymmetric unit holds La at (0.0000, 0.0000, 0.0000), Cd at (0.5000, 0.5000, 0.5000) and Os at (0.0000, 0.0000, 0.5000).

The electronic total energy comes out at -0.1927 Ha/atom. The size of the total moment comes out at 0.7 Bohr magnetons per cell. For the mass density, the calculation gives 11.7 g cm⁻³. The energy relative to the lowest polymorph listed for this composition comes out at 626 meV/atom. The value obtained for the formation energy is 2664 meV per atom.

---

No. 10
BaLi2Mo: relaxed, PBE.

It has space group Pm (No. 6), with a = 2.9635 Å, b = 4.6473 Å, c = 7.0240 Å, α = 90.00°, β = 101.42° and γ = 90.00°. The asymmetric unit holds Ba at (0.0000, 0.0000, 0.0000), Li at (0.6601, 0.5000, 0.3463), Li at (0.8162, 0.0000, 0.5457) and Mo at (0.3646, 0.5000, 0.7045).

The electronic total energy comes out at -0.1230 Ha/atom. The size of the total moment comes out at 0.7 Bohr magnetons per cell. For the mass density, the calculation gives 4.3 g cm⁻³. The energy relative to the lowest polymorph listed for this composition comes out at 69 meV/atom. The value obtained for the formation energy is 800 meV per atom.

---

No. 11
ZrGaMoPb2: relaxed, PBE.

It has space group P4/mmm (No. 123), with a = 5.2613 Å, b = 5.2613 Å, c = 4.8145 Å, α = 90.00°, β = 90.00° and γ = 90.00°. The asymmetric unit holds Zr at (0.0000, 0.0000, 0.0000), Ga at (0.5000, 0.5000, 0.5000), Mo at (0.5000, 0.5000, 0.0000) and Pb at (0.0000, 0.5000, 0.5000).

The electronic total energy comes out at -0.1798 Ha/atom. The size of the total moment comes out at 1.6 Bohr magnetons per cell. For the mass density, the calculation gives 8.4 g cm⁻³. The value obtained for the formation energy is 1073 meV per atom.

---

No. 12
Th4NpO10: relaxed, PBE.

It has space group R-3m (No. 166, hexagonal axes), with a = 3.9435 Å, b = 3.9435 Å, c = 48.3928 Å, α = 90.00°, β = 90.00° and γ = 120.00°. The asymmetric unit holds Th at (0.0000, 0.0000, 0.1014), Th at (0.0000, 0.0000, 0.2996), Np at (0.0000, 0.0000, 0.5000), O at (0.0000, 0.0000, 0.0507), O at (0.0000, 0.0000, 0.1514), O at (0.0000, 0.0000, 0.2489), O at (0.0000, 0.0000, 0.3501) and O at (0.0000, 0.0000, 0.4516).

The calculation puts the energy relative to the elements, uncorrected at -3723 meV per atom. The electronic total energy comes out at -0.3627 Ha/atom. The size of the total moment comes out at 9.0 Bohr magnetons per cell. For the mass density, the calculation gives 10.1 g cm⁻³.

---

No. 13
Ti5Tc4Hg: relaxed, PBE.

It has space group P4/mmm (No. 123), with a = 3.1458 Å, b = 3.1458 Å, c = 15.9671 Å, α = 90.00°, β = 90.00° and γ = 90.00°. The asymmetric unit holds Ti at (0.0000, 0.0000, 0.0000), Ti at (0.0000, 0.0000, 0.1908), Ti at (0.0000, 0.0000, 0.3773), Tc at (0.5000, 0.5000, 0.0971), Tc at (0.5000, 0.5000, 0.2923) and Hg at (0.5000, 0.5000, 0.5000).

The electronic total energy comes out at -0.3143 Ha/atom. The size of the total moment comes out at 0.0 Bohr magnetons per cell. For the mass density, the calculation gives 8.7 g cm⁻³. The value obtained for the formation energy is -429 meV per atom.

---

No. 14
CdRe2Sn: relaxed, PBE.

It has space group Fm-3m (No. 225), with a = 6.5181 Å, b = 6.5181 Å, c = 6.5181 Å, α = 90.00°, β = 90.00° and γ = 90.00°. The asymmetric unit holds Cd at (0.0000, 0.0000, 0.0000), Re at (0.2500, 0.2500, 0.2500) and Sn at (0.0000, 0.0000, 0.5000).

The electronic total energy comes out at -0.2412 Ha/atom. The size of the total moment comes out at 0.0 Bohr magnetons per cell. For the mass density, the calculation gives 14.5 g cm⁻³. The energy relative to the lowest polymorph listed for this composition comes out at 0 meV/atom. The value obtained for the formation energy is 890 meV per atom.

---

No. 15
Y2ErGa2Cu2: relaxed, PBE.

It has space group R-3m (No. 166, hexagonal axes), with a = 4.3502 Å, b = 4.3502 Å, c = 27.7672 Å, α = 90.00°, β = 90.00° and γ = 120.00°. The asymmetric unit holds Y at (0.0000, 0.0000, 0.1229), Er at (0.0000, 0.0000, 0.0000), Ga at (0.0000, 0.0000, 0.2659) and Cu at (0.0000, 0.0000, 0.3950).

The electronic total energy comes out at -0.1817 Ha/atom. The size of the total moment comes out at 0.0 Bohr magnetons per cell. For the mass density, the calculation gives 6.7 g cm⁻³. The value obtained for the formation energy is -410 meV per atom.

---

No. 16
Be2AgP: relaxed, PBE.

It has space group F-43m (No. 216), with a = 6.0203 Å, b = 6.0203 Å, c = 6.0203 Å, α = 90.00°, β = 90.00° and γ = 90.00°. The asymmetric unit holds Be at (0.0000, 0.0000, 0.0000), Be at (0.2500, 0.2500, 0.2500), Ag at (0.0000, 0.0000, 0.5000) and P at (0.2500, 0.2500, 0.7500).

The electronic total energy comes out at -0.1205 Ha/atom. The size of the total moment comes out at 0.0 Bohr magnetons per cell. For the mass density, the calculation gives 4.8 g cm⁻³. The value obtained for the formation energy is 651 meV per atom.

---

No. 17
Fe3Hg2: relaxed, PBE.

It has space group P-3m1 (No. 164), with a = 4.1036 Å, b = 4.1036 Å, c = 5.8790 Å, α = 90.00°, β = 90.00° and γ = 120.00°. The asymmetric unit holds Fe at (0.0000, 0.0000, 0.0000), Fe at (0.3333, 0.6667, 0.1065) and Hg at (0.3333, 0.6667, 0.6463).

The electronic total energy comes out at -0.1759 Ha/atom. The size of the total moment comes out at 7.5 Bohr magnetons per cell. For the mass density, the calculation gives 11.0 g cm⁻³. The energy relative to the lowest polymorph listed for this composition comes out at 36 meV/atom. The value obtained for the formation energy is 413 meV per atom.

---

No. 18
Zn2CdHg2: relaxed, PBE.

It has space group I4/mmm (No. 139), with a = 4.2573 Å, b = 4.2573 Å, c = 12.6084 Å, α = 90.00°, β = 90.00° and γ = 90.00°. The asymmetric unit holds Zn at (0.0000, 0.0000, 0.0961), Cd at (0.0000, 0.0000, 0.5000) and Hg at (0.0000, 0.5000, 0.2500).

The electronic total energy comes out at -0.0241 Ha/atom. The size of the total moment comes out at 0.0 Bohr magnetons per cell. For the mass density, the calculation gives 9.4 g cm⁻³. The energy relative to the lowest polymorph listed for this composition comes out at 62 meV/atom. The value obtained for the formation energy is 157 meV per atom.

---

No. 19
Hf2TaSb2: relaxed, PBE.

It has space group P4/mbm (No. 127), with a = 7.4615 Å, b = 7.4615 Å, c = 3.8514 Å, α = 90.00°, β = 90.00° and γ = 90.00°. The asymmetric unit holds Hf at (0.1532, 0.3468, 0.0000), Ta at (0.0000, 0.0000, 0.5000) and Sb at (0.1480, 0.6480, 0.5000).

The calculation puts the energy relative to the elements, uncorrected at -185 meV per atom. The electronic total energy comes out at -0.3008 Ha/atom. The size of the total moment comes out at 0.0 Bohr magnetons per cell. For the mass density, the calculation gives 12.1 g cm⁻³.

---

No. 20
AcPmNd2Tl4: relaxed, PBE.

It has space group R-3m (No. 166, hexagonal axes), with a = 5.6048 Å, b = 5.6048 Å, c = 27.4850 Å, α = 90.00°, β = 90.00° and γ = 120.00°. The asymmetric unit holds Ac at (0.0000, 0.0000, 0.0000), Pm at (0.0000, 0.0000, 0.5000), Nd at (0.0000, 0.0000, 0.2494), Tl at (0.0000, 0.0000, 0.1276) and Tl at (0.0000, 0.0000, 0.3783).

The electronic total energy comes out at -0.1412 Ha/atom. The size of the total moment comes out at 0.0 Bohr magnetons per cell. For the mass density, the calculation gives 9.8 g cm⁻³. The value obtained for the formation energy is -360 meV per atom.

---

No. 21
Ho4Sb2Ir: relaxed, PBE.

It has space group C2/m (No. 12), with a = 11.4526 Å, b = 4.3900 Å, c = 8.6455 Å, α = 90.00°, β = 119.98° and γ = 90.00°. The asymmetric unit holds Ho at (0.0687, 0.0000, 0.3512), Ho at (0.1644, 0.5000, 0.0561), Sb at (0.1549, 0.5000, 0.6610) and Ir at (0.0000, 0.0000, 0.0000).

The calculation puts the energy relative to the elements, uncorrected at -838 meV per atom. The electronic total energy comes out at -0.2167 Ha/atom. The size of the total moment comes out at 0.0 Bohr magnetons per cell. For the mass density, the calculation gives 9.7 g cm⁻³.

---

No. 22
RbOs3C: relaxed, PBE.

It has space group Pm-3m (No. 221), with a = 4.2763 Å, b = 4.2763 Å, c = 4.2763 Å, α = 90.00°, β = 90.00° and γ = 90.00°. The asymmetric unit holds Rb at (0.0000, 0.0000, 0.0000), Os at (0.0000, 0.5000, 0.5000) and C at (0.5000, 0.5000, 0.5000).

The electronic total energy comes out at -0.2616 Ha/atom. The size of the total moment comes out at 1.8 Bohr magnetons per cell. For the mass density, the calculation gives 14.2 g cm⁻³. The energy relative to the lowest polymorph listed for this composition comes out at 0 meV/atom. The value obtained for the formation energy is 1657 meV per atom.

---

No. 23
Ce2NdZr: relaxed, PBE.

It has space group P4/mmm (No. 123), with a = 4.7191 Å, b = 4.7191 Å, c = 5.0551 Å, α = 90.00°, β = 90.00° and γ = 90.00°. The asymmetric unit holds Ce at (0.0000, 0.5000, 0.0000), Nd at (0.0000, 0.0000, 0.5000) and Zr at (0.5000, 0.5000, 0.5000).

The electronic total energy comes out at -0.2253 Ha/atom. The size of the total moment comes out at 0.0 Bohr magnetons per cell. For the mass density, the calculation gives 7.6 g cm⁻³. The energy relative to the lowest polymorph listed for this composition comes out at 36 meV/atom. The value obtained for the formation energy is 165 meV per atom.

---

No. 24
Nd6As3Se2Cl: relaxed, PBE.

It has space group C2/m (No. 12), with a = 18.5983 Å, b = 4.2384 Å, c = 8.5283 Å, α = 90.00°, β = 103.76° and γ = 90.00°. The asymmetric unit holds Nd at (0.0024, 0.0000, 0.2321), Nd at (0.1656, 0.5000, 0.0893), Nd at (0.1746, 0.5000, 0.5804), As at (0.0000, 0.5000, 0.0000), As at (0.1644, 0.0000, 0.3339), Se at (0.1647, 0.0000, 0.8295) and Cl at (0.0000, 0.5000, 0.5000).

The calculation puts the energy relative to the elements, uncorrected at -1674 meV per atom. The electronic total energy comes out at -0.2189 Ha/atom. The size of the total moment comes out at 0.0 Bohr magnetons per cell. For the mass density, the calculation gives 6.5 g cm⁻³.

---

No. 25
Tm2Sc2Si4Ir: relaxed, PBE.

It has space group I4/mmm (No. 139), with a = 6.2232 Å, b = 6.2232 Å, c = 8.8561 Å, α = 90.00°, β = 90.00° and γ = 90.00°. The asymmetric unit holds Tm at (0.0000, 0.5000, 0.2500), Sc at (0.0000, 0.0000, 0.2133), Si at (0.2216, 0.2216, 0.0000) and Ir at (0.0000, 0.0000, 0.5000).

The calculation puts the energy relative to the elements, uncorrected at -435 meV per atom. The electronic total energy comes out at -0.2290 Ha/atom. The size of the total moment comes out at 0.0 Bohr magnetons per cell. For the mass density, the calculation gives 7.1 g cm⁻³.